The following is a DFT calculation (PBE) of CsLiYCl5 after structural relaxation.

The space group is C2/c (No. 15) and the conventional cell measures 9.261, 12.410 and 10.196 Å, with angles of 90.00, 113.98 and 90.00 degrees. The asymmetric unit holds Cs at (0.000, 0.161, 0.250), Li at (0.000, 0.192, 0.750), Y at (0.000, 0.500, 0.000), Cl at (0.000, 0.437, 0.250), Cl at (0.091, 0.302, 0.601) and Cl at (0.204, 0.069, 0.911).

Its total energy is -4.428 eV per atom.

---

The following is a DFT calculation (PBE) of Cs2LuCl4 after structural relaxation.

The space group is I4/mmm (No. 139) and the conventional cell measures 5.290, 5.290 and 17.578 Å, with angles of 90.00, 90.00 and 90.00 degrees. The asymmetric unit holds Cs at (0.000, 0.000, 0.144), Lu at (0.000, 0.000, 0.500), Cl at (0.000, 0.000, 0.349) and Cl at (0.000, 0.500, 0.000).

Its total energy is -3.829 eV per atom.

---

The following is a DFT calculation (PBE) of Cs2NaLuCl6 after structural relaxation.

The space group is Fm-3m (No. 225) and the conventional cell measures 10.809, 10.809 and 10.809 Å, with angles of 90.00, 90.00 and 90.00 degrees. The asymmetric unit holds Cs at (0.250, 0.250, 0.250), Na at (0.000, 0.000, 0.000), Lu at (0.000, 0.000, 0.500) and Cl at (0.000, 0.000, 0.260).

Its total energy is -4.008 eV per atom.

---

The following is a DFT calculation (PBE) of Cs6MgCl8 after structural relaxation.

The space group is R-3 (No. 148, hexagonal axes) and the conventional cell measures 10.0839, 10.0839 and 19.6902 Å, with angles of 90.00, 90.00 and 120.00 degrees. The asymmetric unit holds Cs at (0.0233, 0.4031, 0.4169), Mg at (0.0000, 0.0000, 0.5000), Cl at (0.0000, 0.0000, 0.1523) and Cl at (0.0108, 0.2162, 0.5754).

Its total energy is -3.352 eV per atom.

---

The following is a DFT calculation (PBE) of Cs2Mg2Cl5 after structural relaxation.

The space group is C2/m (No. 12) and the conventional cell measures 14.716, 5.377 and 8.307 Å, with angles of 90.00, 107.10 and 90.00 degrees. The asymmetric unit holds Cs at (0.099, 0.000, 0.320), Mg at (0.156, 0.500, 0.905), Cl at (0.000, 0.500, 0.000), Cl at (0.148, 0.500, 0.611) and Cl at (0.164, 0.000, 0.944).

Its total energy is -3.210 eV per atom.

---

The following is a DFT calculation (PBE) of Cs2MgCl4 after structural relaxation.

The space group is P2_1/m (No. 11) and the conventional cell measures 7.652, 7.438 and 9.945 Å, with angles of 90.00, 108.88 and 90.00 degrees. The asymmetric unit holds Cs at (0.196, 0.250, 0.424), Cs at (0.297, 0.250, 0.958), Mg at (0.284, 0.750, 0.214), Cl at (0.081, 0.750, 0.348), Cl at (0.134, 0.750, 0.967) and Cl at (0.489, 0.505, 0.272).

Its total energy is -3.486 eV per atom.

---

Number 1: magnetic moment 0.000 μB per formula unit. Number 2: magnetic moment 0.262 μB per formula unit. Number 3: magnetic moment 0.000 μB per formula unit. Number 4: magnetic moment 0.000 μB per formula unit. Number 5: magnetic moment 0.000 μB per formula unit. Number 6: magnetic moment 0.000 μB per formula unit.